# 1
HoEr2HgC PBE optimized geometry; ΔE_f = -0.3983 eV per atom; raw total energy = -25.2 eV per cell; DOS at the Fermi energy = 1.4914 states/eV/atom; spin magnetization = 0.4 μB/f.u.
1.0
4.888 0.000 0.000
0.000 4.840 0.000
0.000 0.000 4.840
C Ho Er Hg
1 1 2 1
Direct
0.000 0.000 0.000 C
0.500 0.000 0.000 Ho
0.000 0.000 0.500 Er
0.000 0.500 0.000 Er
0.500 0.500 0.500 Hg



# 2
Ho2ErHgC PBE optimized geometry; ΔE_f = -0.3923 eV per atom; raw total energy = -25.2 eV per cell; DOS at the Fermi energy = 1.4864 states/eV/atom; spin magnetization = 0.3 μB/f.u.
1.0
4.833 0.000 0.000
0.000 4.881 0.000
0.000 0.000 4.881
Er Ho C Hg
1 2 1 1
Direct
0.500 0.000 0.000 Er
0.000 0.500 0.000 Ho
0.000 0.000 0.500 Ho
0.000 0.000 0.000 C
0.500 0.500 0.500 Hg



# 3
HoErHgC PBE optimized geometry; ΔE_f = -0.4006 eV per atom; raw total energy = -20.3 eV per cell; DOS at the Fermi energy = 0.7615 states/eV/atom; spin magnetization = 0.0 μB/f.u.
1.0
3.576 0.000 -0.001
-1.787 3.097 0.000
-1.790 -1.033 7.800
Hg Ho Er C
1 1 1 1
Direct
0.968 0.382 0.364 Hg
0.523 0.159 0.698 Ho
0.085 0.941 0.041 Er
0.302 0.549 0.867 C



# 4
Er2MnHgC PBE optimized geometry; ΔE_f = -0.3520 eV per atom; raw total energy = -29.6 eV per cell; DOS at the Fermi energy = 1.0528 states/eV/atom; spin magnetization = 1.2 μB/f.u.
1.0
-3.690 0.750 0.432
-1.019 -2.667 -4.073
-0.502 -4.082 2.798
Mn C Er Hg
1 1 2 1
Direct
0.500 0.000 0.000 Mn
0.000 0.000 0.000 C
0.000 0.000 0.500 Er
0.000 0.500 0.000 Er
0.500 0.500 0.500 Hg



# 5
Nd2ErHgC PBE optimized geometry; ΔE_f = -0.2680 eV per atom; raw total energy = -25.0 eV per cell; DOS at the Fermi energy = 0.9432 states/eV/atom; spin magnetization = 0.0 μB/f.u.
1.0
4.782 0.000 0.000
0.000 5.158 0.000
0.000 0.000 5.158
C Nd Hg Er
1 2 1 1
Direct
0.000 0.000 0.000 C
0.000 0.500 0.000 Nd
0.000 0.000 0.500 Nd
0.500 0.500 0.500 Hg
0.500 0.000 0.000 Er



# 6
ErHgC2O6 PBE optimized geometry; energy relative to the elements, uncorrected = -1729.1 meV per atom; raw total energy = -140.7 eV per cell; DOS at the Fermi energy = 0.2537 states/eV/atom; spin magnetization = 0.0 μB/f.u.
1.0
-4.372 4.554 1.023
-3.320 -2.599 -4.809
-0.597 -4.530 5.449
O C Er Hg
12 4 2 2
Direct
0.531 0.299 0.896 O
0.599 0.062 0.257 O
0.299 0.531 0.396 O
0.268 0.200 0.603 O
0.701 0.469 0.604 O
0.401 0.938 0.743 O
0.200 0.268 0.103 O
0.062 0.599 0.757 O
0.800 0.732 0.897 O
0.732 0.800 0.397 O
0.469 0.701 0.104 O
0.938 0.401 0.243 O
0.864 0.601 0.754 C
0.399 0.136 0.746 C
0.601 0.864 0.254 C
0.136 0.399 0.246 C
0.410 0.590 0.750 Er
0.590 0.410 0.250 Er
0.898 0.102 0.750 Hg
0.102 0.898 0.250 Hg